# 1
Density functional theory data (PBE-GGA) for a relaxed Fe3CuBr crystal.

Geometry as POSCAR:
```
Fe3CuBr
1.0
4.333 0.000 0.000
0.000 4.333 0.000
0.000 0.000 4.333
Fe Br Cu
3 1 1
Direct
0.000 0.500 0.000 Fe
0.500 0.000 0.000 Fe
0.000 0.000 0.500 Fe
0.000 0.000 0.000 Br
0.500 0.500 0.500 Cu
```

## Properties
Theoretical density in g/cm³: 6.3

=====

# 2
Density functional theory data (PBE-GGA) for a relaxed Fe2Cu2Br crystal.

Geometry as POSCAR:
```
Fe2Cu2Br
1.0
-1.555 0.767 2.954
-1.889 -2.846 -0.256
2.837 -4.359 4.612
Fe Br Cu
2 1 2
Direct
0.603 0.603 0.794 Fe
0.397 0.397 0.206 Fe
0.000 0.000 0.000 Br
0.750 0.250 0.500 Cu
0.250 0.750 0.500 Cu
```

## Properties
Theoretical density in g/cm³: 6.9

=====

# 3
Density functional theory data (PBE-GGA) for a relaxed FeCuBr2 crystal.

Geometry as POSCAR:
```
FeCuBr2
1.0
0.000 3.344 3.344
3.344 0.000 3.344
3.344 3.344 0.000
Fe Br Cu
1 2 1
Direct
0.000 0.000 0.000 Fe
0.250 0.250 0.250 Br
0.750 0.750 0.750 Br
0.500 0.500 0.500 Cu
```

## Properties
Theoretical density in g/cm³: 6.2

=====

# 4
Density functional theory data (PBE-GGA) for a relaxed FeCu2Br crystal.

Geometry as POSCAR:
```
FeCu2Br
1.0
4.594 0.045 0.000
-1.858 4.202 0.000
0.000 0.000 3.141
Cu Br Fe
2 1 1
Direct
0.500 0.500 0.000 Cu
0.000 0.000 0.000 Cu
0.000 0.500 0.500 Br
0.500 0.000 0.500 Fe
```

## Properties
Theoretical density in g/cm³: 7.2

=====

# 5
Density functional theory data (PBE-GGA) for a relaxed FeCu2Br crystal.

Geometry as POSCAR:
```
FeCu2Br
1.0
-3.054 -6.453 -2.331
-0.369 -6.267 -4.122
-0.224 -7.425 -1.107
Cu Br Fe
2 1 1
Direct
0.506 0.506 0.506 Cu
0.994 0.994 0.994 Cu
0.750 0.750 0.750 Br
0.250 0.250 0.250 Fe
```

## Properties
Theoretical density in g/cm³: 6.6

=====

# 6
Density functional theory data (PBE-GGA) for a relaxed FeCu2Br crystal.

Geometry as POSCAR:
```
FeCu2Br
1.0
-5.982 1.553 3.606
-3.617 0.376 -6.162
-5.339 -1.502 -1.112
Cu Br Fe
4 2 2
Direct
0.375 0.383 0.750 Cu
0.133 0.625 0.250 Cu
0.617 0.125 0.250 Cu
0.875 0.867 0.750 Cu
0.750 0.250 0.500 Br
0.000 0.000 0.000 Br
0.250 0.750 0.500 Fe
0.500 0.500 0.000 Fe
```

## Properties
Theoretical density in g/cm³: 6.7

=====

Going through the records in order, we get relative energy among the computed polymorphs values of 0.089, 0.029, 0.358, 0.340, 0.214, 0.375 eV per atom.
Going through the records in order, we get raw formation energy values of 1235, 554, 430, 627, 502, 663 meV/atom.
Going through the records in order, we get total moment values of 6.100, 6.485, 3.036, 2.919, 3.285, 3.029 μB/f.u..